Pr4HgPd2 | PBE-GGA | optimized geometry

Cell: 4.944 4.944 10.286 Å, 76.10 76.10 60.00°
Element x y z (fractional)
Pr (0.204, 0.204, 0.388)
Pr (0.796, 0.796, 0.612)
Pr (0.383, 0.383, 0.851)
Pr (0.617, 0.617, 0.149)
Pd (0.900, 0.900, 0.299)
Pd (0.100, 0.100, 0.701)
Hg (0.000, 0.000, 0.000)

M_tot in μB per atom: 0.000
Volume in Å³/cell: 209.2
SG: No. 166
DOS(E_F) in states/eV per cell: 7.98
Formation energy in meV per atom: -432.0

=====

PrHg2Pd6 | PBE-GGA | optimized geometry

Cell: 5.532 5.532 7.370 Å, 90.00 90.00 120.00°
Element x y z (fractional)
Pd (0.000, 0.500, 0.814)
Pd (0.000, 0.500, 0.186)
Pd (0.500, 0.500, 0.814)
Pd (0.500, 0.000, 0.814)
Pd (0.500, 0.000, 0.186)
Pd (0.500, 0.500, 0.186)
Hg (0.667, 0.333, 0.500)
Hg (0.333, 0.667, 0.500)
Pr (0.000, 0.000, 0.000)

M_tot in μB per atom: 0.000
Volume in Å³/cell: 195.3
SG: No. 191
DOS(E_F) in states/eV per cell: 6.24
Energy above the most stable polymorph in this dataset in eV per formula unit: 0.00
Formation energy in meV per atom: -271.1